DFT (PBE) results for a relaxed structure of AgH9C7S2O4F4.

## Properties
- V (A^3/atom) = 10.14
- E_tot (eV per atom) = -5.5668

CIF file:
```
data_AgH9C7S2O4F4
_cell_length_a 6.572
_cell_length_b 7.955
_cell_length_c 10.600
_cell_angle_alpha 87.44
_cell_angle_beta 83.40
_cell_angle_gamma 84.31
_space_group_name_H-M_alt 'P -1'
_space_group_IT_number 2
loop_
_space_group_symop_operation_xyz
'x,y,z'
'-x,-y,-z'
loop_
_atom_site_label
_atom_site_fract_x
_atom_site_fract_y
_atom_site_fract_z
Ag1 0.189 0.471 0.069
H1 0.021 0.131 0.396
H2 0.049 0.354 0.380
H3 0.078 0.724 0.315
H4 0.106 0.891 0.046
H5 0.264 0.204 0.338
H6 0.264 0.595 0.748
H7 0.301 0.814 0.735
H8 0.312 0.991 0.953
H9 0.356 0.879 0.099
C1 0.098 0.230 0.340
C2 0.222 0.250 0.789
C3 0.232 0.715 0.795
C4 0.271 0.883 0.015
C5 0.341 0.163 0.672
C6 0.359 0.653 0.351
C7 0.462 0.288 0.585
S1 0.042 0.226 0.178
S2 0.357 0.689 0.937
O1 0.040 0.313 0.777
O2 0.191 0.753 0.375
O3 0.320 0.255 0.882
O4 0.390 0.530 0.283
F1 0.211 0.092 0.601
F2 0.324 0.424 0.559
F3 0.468 0.786 0.528
F4 0.480 0.034 0.709
```